(1)
DFT (PBE-GGA) results for crystalline Tc3PtAu at its relaxed geometry.

Formation energy ... 1.92 eV per atom
Calculated density ... 10.7 g/cm³

Unit cell a=4.734 b=4.734 c=4.734 alpha=90.00 beta=90.00 gamma=90.00
Space group Pm-3m (No. 221)
Symmetry-distinct sites (fractional):
Tc: 0.000 0.000 0.500 (multiplicity 3)
Pt: 0.000 0.000 0.000 (multiplicity 1)
Au: 0.500 0.500 0.500 (multiplicity 1)

***

(2)
DFT (PBE-GGA) results for crystalline Zr2PaSb4 at its relaxed geometry.

Uncorrected formation energy ... -43 kJ per mole of atoms
Calculated density ... 7.7 g/cm³

Unit cell a=4.200 b=13.092 c=14.167 alpha=90.00 beta=90.00 gamma=90.00
Space group Cmcm (No. 63)
Symmetry-distinct sites (fractional):
Zr: 0.000 0.136 0.059 (multiplicity 8)
Pa: 0.000 0.386 0.250 (multiplicity 4)
Sb: 0.000 0.059 0.250 (multiplicity 4)
Sb: 0.000 0.228 0.630 (multiplicity 8)
Sb: 0.000 0.500 0.000 (multiplicity 4)

***

(3)
DFT (PBE-GGA) results for crystalline HgPb2Au at its relaxed geometry.

Formation energy ... -0.01 eV per atom
Calculated density ... 11.4 g/cm³

Unit cell a=4.7270 b=4.7270 c=18.2895 alpha=90.00 beta=90.00 gamma=120.00
Space group R3m (No. 160, hexagonal axes)
Symmetry-distinct sites (fractional):
Hg: 0.0000 0.0000 0.0000 (multiplicity 3)
Pb: 0.0000 0.0000 0.5720 (multiplicity 3)
Pb: 0.0000 0.0000 0.7746 (multiplicity 3)
Au: 0.0000 0.0000 0.1717 (multiplicity 3)

***

(4)
DFT (PBE-GGA) results for crystalline HfCuTe2 at its relaxed geometry.

Uncorrected formation energy ... -4 kJ per mole of atoms
Calculated density ... 9.3 g/cm³

Unit cell a=7.083 b=7.083 c=7.083 alpha=90.00 beta=90.00 gamma=90.00
Space group Fm-3m (No. 225)
Symmetry-distinct sites (fractional):
Hf: 0.000 0.000 0.000 (multiplicity 4)
Cu: 0.000 0.000 0.500 (multiplicity 4)
Te: 0.250 0.250 0.250 (multiplicity 8)

***

Q: Which value of calculated density does entry 4 give?
A: 9.3 g/cm³

***

Q: Which value of calculated density does entry 1 give?
A: 10.7 g/cm³